No. 1
Below is a relaxed PuCSe crystal, with properties calculated at the PBE level.

Unit cell a=14.728 b=3.948 c=5.688 alpha=90.00 beta=112.49 gamma=90.00
Space group C2/m (No. 12)
One atom of each set of equivalent atoms:
Pu (0.159, 0.000, 0.160)
C (0.047, 0.500, 0.047)
Se (0.186, 0.000, 0.686)

Calculated values
volume	305.6	Å³ per cell
size of the total moment	5.00	μB per formula unit
N(E_F)	2.9093	states/eV per atom
total DFT energy (no corrections)	-114.56	eV per cell


No. 2
Below is a relaxed Pu4CSe2 crystal, with properties calculated at the PBE level.

Unit cell a=4.702 b=4.702 c=15.284 alpha=90.00 beta=90.00 gamma=90.00
Space group I4/mmm (No. 139)
One atom of each set of equivalent atoms:
Pu (0.000, 0.000, 0.167)
Pu (0.000, 0.500, 0.000)
C (0.000, 0.000, 0.000)
Se (0.000, 0.000, 0.364)

Calculated values
volume	337.9	Å³ per cell
size of the total moment	23.74	μB per formula unit
N(E_F)	4.1611	states/eV per atom
total DFT energy (no corrections)	-155.70	eV per cell


Copy entry 1 word for word.
Below is a relaxed PuCSe crystal, with properties calculated at the PBE level.

Unit cell a=14.728 b=3.948 c=5.688 alpha=90.00 beta=112.49 gamma=90.00
Space group C2/m (No. 12)
One atom of each set of equivalent atoms:
Pu (0.159, 0.000, 0.160)
C (0.047, 0.500, 0.047)
Se (0.186, 0.000, 0.686)

Calculated values
volume	305.6	Å³ per cell
size of the total moment	5.00	μB per formula unit
N(E_F)	2.9093	states/eV per atom
total DFT energy (no corrections)	-114.56	eV per cell